First-principles (SCAN) data for a PBEsol-optimized structure of LaCrCu2, as listed in Alexandria via LeMat-Bulk.

Cell and atoms, written as POSCAR:
```
LaCrCu2
1.0
4.598 0.000 0.000
-2.299 4.160 -0.003
0.000 -2.538 3.834
Cr Cu La
1 2 1
Direct
0.000 0.000 0.000
0.750 0.500 0.250
0.250 0.500 0.750
0.500 0.000 0.500
```

## Properties
Offset from the most stable computed form   0.0000 eV/atom
Raw total energy   -91.46 eV/cell
Energy of formation from the pure elements   0.1064 eV per atom